Below is a geometry-optimized SrMg2In2 structure, with properties calculated at the PBE level.

Output
* N(E_F): 0.554 states/eV per atom
* E: -2.255 eV per atom

a b c (Å): 8.8541 8.8541 3.3991
angles (deg): 90.00 90.00 90.00
Fractional positions:
Sr 0.0000 0.0000 0.0000
Sr 0.5000 0.5000 0.0000
Mg 0.1227 0.3773 0.0000
Mg 0.3773 0.8773 0.0000
Mg 0.6227 0.1227 0.0000
Mg 0.8773 0.6227 0.0000
In 0.1739 0.6739 0.5000
In 0.3261 0.1739 0.5000
In 0.6739 0.8261 0.5000
In 0.8261 0.3261 0.5000

Below is a geometry-optimized SrMgIn3 structure, with properties calculated at the PBE level.

Output
* N(E_F): 0.202 states/eV per atom
* E: -2.608 eV per atom

a b c (Å): 7.1991 7.1934 4.7353
angles (deg): 70.86 70.73 38.42
Fractional positions:
Sr 0.0000 0.0000 0.0000
Mg 0.7500 0.7500 0.7500
In 0.2500 0.2500 0.2500
In 0.3891 0.3891 0.6109
In 0.6109 0.6109 0.3891

Below is a geometry-optimized SrMg2In4 structure, with properties calculated at the PBE level.

Output
* N(E_F): 0.513 states/eV per atom
* E: -2.472 eV per atom

a b c (Å): 6.3649 6.3649 6.3649
angles (deg): 102.13 102.13 125.43
Fractional positions:
Sr 0.0000 0.0000 0.0000
Mg 0.2500 0.7500 0.5000
Mg 0.7500 0.2500 0.5000
In 0.3045 0.3045 0.6090
In 0.3045 0.6955 0.0000
In 0.6955 0.3045 0.0000
In 0.6955 0.6955 0.3910

Below is a geometry-optimized SrMgIn structure, with properties calculated at the PBE level.

Output
* N(E_F): 0.612 states/eV per atom
* E: -2.209 eV per atom

a b c (Å): 6.7496 6.7496 6.7496
angles (deg): 146.61 146.61 47.94
Fractional positions:
Sr 0.0000 0.0000 0.0000
Mg 0.6960 0.6960 0.0000
In 0.3140 0.3140 0.0000

Below is a geometry-optimized Sr6Mg5In structure, with properties calculated at the PBE level.

Output
* N(E_F): 0.793 states/eV per atom
* E: -1.861 eV per atom

a b c (Å): 5.8175 8.5208 9.1812
angles (deg): 90.00 108.33 90.00
Fractional positions:
Sr 0.0000 0.2443 0.0000
Sr 0.0000 0.7557 0.0000
Sr 0.3354 0.2479 0.6722
Sr 0.3354 0.7521 0.6722
Sr 0.6646 0.2479 0.3278
Sr 0.6646 0.7521 0.3278
Mg 0.1679 0.5000 0.3345
Mg 0.1708 0.0000 0.3386
Mg 0.5000 0.5000 0.0000
Mg 0.8292 0.0000 0.6614
Mg 0.8321 0.5000 0.6656
In 0.5000 0.0000 0.0000

Below is a geometry-optimized SrMg4In structure, with properties calculated at the PBE level.

Output
* N(E_F): 0.568 states/eV per atom
* E: -1.907 eV per atom

a b c (Å): 8.7709 4.6924 8.1112
angles (deg): 90.00 90.00 90.00
Fractional positions:
Sr 0.2500 0.0000 0.1258
Sr 0.7500 0.0000 0.8742
Mg 0.0000 0.0000 0.5000
Mg 0.0535 0.5000 0.8052
Mg 0.2500 0.5000 0.4564
Mg 0.4465 0.5000 0.8052
Mg 0.5000 0.0000 0.5000
Mg 0.5535 0.5000 0.1948
Mg 0.7500 0.5000 0.5436
Mg 0.9465 0.5000 0.1948
In 0.2500 0.0000 0.7196
In 0.7500 0.0000 0.2804

> Which value of N(E_F) does entry 5 give?

0.793 states/eV per atom